VASP calculation (PBE+U) on crystalline DyScWO6 at its relaxed geometry.

a b c (Å): 5.323 5.323 9.673
angles (deg): 90.00 90.00 120.00
Positions (direct):
Dy (0.000, 0.000, 0.000)
Dy (0.000, 0.000, 0.500)
Sc (0.333, 0.667, 0.250)
Sc (0.667, 0.333, 0.750)
W (0.333, 0.667, 0.750)
W (0.667, 0.333, 0.250)
O (0.023, 0.366, 0.638)
O (0.023, 0.657, 0.862)
O (0.343, 0.366, 0.862)
O (0.343, 0.977, 0.638)
O (0.366, 0.023, 0.138)
O (0.366, 0.343, 0.362)
O (0.634, 0.657, 0.638)
O (0.634, 0.977, 0.862)
O (0.657, 0.023, 0.362)
O (0.657, 0.634, 0.138)
O (0.977, 0.343, 0.138)
O (0.977, 0.634, 0.362)

Results
For the total energy, the calculation gives -8.248 eV per atom. Its space group is P-31c (163).